{
  "formula": "In4CuAs",
  "functional": "GGA-PBE",
  "state": "relaxed",
  "lattice": [[0.000, 4.268, 4.268], [4.268, 0.000, 4.268], [4.268, 4.268, 0.000]],
  "species": ["In", "Cu", "As", "In", "In", "In"],
  "frac_coords": [[0.375, 0.375, 0.375], [0.000, 0.000, 0.000], [0.750, 0.750, 0.750], [0.875, 0.375, 0.375], [0.375, 0.375, 0.875], [0.375, 0.875, 0.375]],
  "sg": "F-43m, No. 216",
  "delta_e_f_ev_per_atom": 0.511
}


{
  "formula": "MgInCuRh",
  "functional": "GGA-PBE",
  "state": "relaxed",
  "lattice": [[3.395, 0.000, 0.000], [0.000, 4.347, 0.000], [0.000, 0.000, 4.391]],
  "species": ["Rh", "In", "Cu", "Mg"],
  "frac_coords": [[0.500, 0.500, 0.000], [0.000, 0.500, 0.500], [0.500, 0.000, 0.500], [0.000, 0.000, 0.000]],
  "sg": "Pmmm, No. 47",
  "delta_e_f_ev_per_atom": -0.301
}


- Which formula does entry 2 have?
  MgInCuRh